The following is a PBE calculation of crystalline ThTeOs at its relaxed geometry, from Alexandria via LeMat-Bulk.

Cell lengths 4.2471, 4.2608, 9.2359 Å; angles 90.00, 101.11, 90.00 degrees
Last column: nearest neighbours and their distance in Å.
Positions (direct):
Th 0.0996 0.2500 0.1906  6 Os 2.95-3.29
Th 0.9004 0.7500 0.8094  6 Os 2.95-3.29
Te 0.3230 0.2500 0.6359  1 Os 2.75
Te 0.6770 0.7500 0.3641  1 Os 2.75
Os 0.4348 0.2500 0.9390  2 Os 2.42
Os 0.5652 0.7500 0.0610  2 Os 2.42

**Space-group type**: No. 11
**Raw total energy**: -47.472 eV per cell
**Magnetization**: 0.00 μB per formula unit
**Volume**: 164.0 Å³ per cell